VASP calculation (PBE-GGA) on a relaxed NdCd2Sn crystal.

Unit cell a=4.556 b=4.556 c=4.884 alpha=90.00 beta=90.00 gamma=90.00
Fractional positions:
1 Nd 0.000 0.000 0.000
2 Cd 0.000 0.500 0.500
3 Cd 0.500 0.000 0.500
4 Sn 0.500 0.500 0.000

Properties
SG ... P4/mmm (123)
Energy ... -3.104 eV per atom